[1]
# NaPr3O4, optimized geometry, DFT PBE-GGA
data_NaPr3O4
_cell_length_a 5.0254
_cell_length_b 5.0254
_cell_length_c 5.0254
_cell_angle_alpha 90.00
_cell_angle_beta 90.00
_cell_angle_gamma 90.00
_space_group_name_H-M_alt 'P m -3 m'
_space_group_IT_number 221
_space_group_name_Hall '-P 4 2 3'
loop_
_atom_site_label
_atom_site_fract_x
_atom_site_fract_y
_atom_site_fract_z
_atom_site_occupancy
Na1 0.0000 0.0000 0.0000 1
Pr1 0.0000 0.5000 0.5000 1
O1 0.0000 0.0000 0.5000 1
O2 0.5000 0.5000 0.5000 1
# Formation energy without anion corrections ... -2646 meV/atom
# VASP energy ... -7.082 eV/atom

[2]
# Na2PrO3, optimized geometry, DFT PBE-GGA
data_Na2PrO3
_cell_length_a 6.9958
_cell_length_b 9.9930
_cell_length_c 11.2870
_cell_angle_alpha 90.00
_cell_angle_beta 107.99
_cell_angle_gamma 90.00
_space_group_name_H-M_alt 'C 1 2/c 1'
_space_group_IT_number 15
_space_group_name_Hall '-C 2yc'
loop_
_atom_site_label
_atom_site_fract_x
_atom_site_fract_y
_atom_site_fract_z
_atom_site_occupancy
Na1 0.0778 0.1247 0.4060 1
Na2 0.2456 0.1249 0.7414 1
Pr1 0.0824 0.3748 0.9151 1
O1 0.0869 0.3901 0.4289 1
O2 0.0928 0.1399 0.9288 1
O3 0.2288 0.3749 0.7500 1
# Formation energy without anion corrections ... -1960 meV/atom
# VASP energy ... -5.675 eV/atom

| no. | volume (A^3/atom) | Fermi-level density of states (states/eV/atom) |
| --- | --- | --- |
| 1 | 15.864 | 0.25 |
| 2 | 15.635 | 1.04 |